Here is an optimized crystal structure of Na6CoS4O16 from OQMD. Energies are from GGA+U.

a b c (Å): 9.4768 9.1423 8.0493
angles (deg): 90.00 113.08 90.00
With the nearest neighbours (Å) after each atom.
Space group P2_1/c (No. 14)
One atom of each set of equivalent atoms:
Na: 0.0685 0.1532 0.4135 (multiplicity 4)  6 O 2.34-2.59
Na: 0.1874 0.0124 0.0397 (multiplicity 4)  6 O 2.27-2.44
Na: 0.3813 0.6313 0.3118 (multiplicity 4)  4 O 2.25-2.45
Co: 0.5000 0.0000 0.5000 (multiplicity 2)  6 O 2.06-2.15
S: 0.1573 0.6518 0.8459 (multiplicity 4)  4 O 1.47-1.52
S: 0.3546 0.1978 0.7838 (multiplicity 4)  4 O 1.48-1.50
O: 0.0292 0.6042 0.6781 (multiplicity 4)  1 S 1.48
O: 0.1436 0.5874 0.0063 (multiplicity 4)  1 S 1.47
O: 0.1618 0.6866 0.3585 (multiplicity 4)  1 S 1.48
O: 0.2013 0.2331 0.2020 (multiplicity 4)  1 S 1.48
O: 0.3024 0.6008 0.8264 (multiplicity 4)  1 S 1.52
O: 0.3668 0.1051 0.9399 (multiplicity 4)  1 S 1.48
O: 0.3838 0.1063 0.6485 (multiplicity 4)  1 S 1.48
O: 0.4760 0.1855 0.3465 (multiplicity 4)  1 S 1.50

Uncorrected energy = -0.2104 hartree per atom
Magnetization = 6.0 Bohr magnetons per cell